Pm2LuTh, relaxed, DFT PBE-GGA; energy = -5.316 eV per atom; density of states at the Fermi level = 4.76 states/eV/cell; offset from the most stable computed form = 0 meV per atom; magnetic moment = 0.00 μB per cell; formation energy from the elements = 0.044 eV per atom
1.0
-2.580 -3.553 -2.581
3.789 -3.259 0.699
-2.139 -1.567 4.294
Pm Th Lu
2 1 1
Direct
0.000 0.500 0.000 Pm
0.000 0.000 0.500 Pm
0.500 0.500 0.500 Th
0.500 0.000 0.000 Lu

***

LaZn6Ir2, relaxed, DFT PBE-GGA; energy = -3.531 eV per atom; density of states at the Fermi level = 5.82 states/eV/cell; magnetic moment = 0.00 μB per cell; formation energy from the elements = -0.165 eV per atom
1.0
-1.736 -3.385 -2.080
1.018 -5.663 3.848
-4.729 -2.896 4.142
Ir Zn La
2 6 1
Direct
0.880 0.620 0.620 Ir
0.120 0.380 0.380 Ir
0.291 0.498 0.920 Zn
0.709 0.502 0.080 Zn
0.500 0.317 0.683 Zn
0.291 0.920 0.498 Zn
0.709 0.080 0.502 Zn
0.500 0.683 0.317 Zn
0.000 0.000 0.000 La

***

LiCo3Ge3, relaxed, DFT PBE-GGA; energy = -5.028 eV per atom; density of states at the Fermi level = 9.16 states/eV/cell; magnetic moment = 0.00 μB per cell; formation energy from the elements = 0.270 eV per atom
1.0
-0.097 3.499 5.377
3.567 -4.440 2.954
5.332 3.035 -1.878
Ge Co Li
6 6 2
Direct
0.000 0.250 0.500 Ge
0.500 0.000 0.250 Ge
0.750 0.500 0.000 Ge
0.250 0.500 0.000 Ge
0.000 0.750 0.500 Ge
0.500 0.000 0.750 Ge
0.000 0.500 0.750 Co
0.000 0.500 0.250 Co
0.750 0.000 0.500 Co
0.250 0.000 0.500 Co
0.500 0.250 0.000 Co
0.500 0.750 0.000 Co
0.000 0.000 0.000 Li
0.500 0.500 0.500 Li

***

Ca2MoRu, relaxed, DFT PBE-GGA; energy = -5.805 eV per atom; density of states at the Fermi level = 4.96 states/eV/cell; offset from the most stable computed form = 0 meV per atom; magnetic moment = 0.00 μB per cell; formation energy from the elements = 0.223 eV per atom
1.0
-3.140 -0.548 0.714
0.359 -3.138 -0.829
2.651 -5.148 7.704
Mo Ru Ca
1 1 2
Direct
0.000 0.435 0.565 Mo
0.500 0.808 0.692 Ru
0.500 0.188 0.314 Ca
0.000 0.069 0.929 Ca

***

Na2Sm3ErSe6, relaxed, DFT PBE-GGA; raw formation energy = -1.7215 eV per atom; energy = -5.244 eV per atom; density of states at the Fermi level = 3.27 states/eV/cell; magnetic moment = 0.00 μB per cell
1.0
-0.430 -6.932 -1.886
5.368 4.081 -2.516
2.183 -0.758 6.850
Sm Na Se Er
3 2 6 1
Direct
0.500 0.500 0.500 Sm
0.830 0.170 0.500 Sm
0.170 0.830 0.500 Sm
0.666 0.334 0.000 Na
0.334 0.666 0.000 Na
0.082 0.408 0.245 Se
0.592 0.918 0.755 Se
0.241 0.241 0.750 Se
0.408 0.082 0.245 Se
0.759 0.759 0.250 Se
0.918 0.592 0.755 Se
0.000 0.000 0.000 Er

***

CeCd3Rh4, relaxed, DFT PBE-GGA; energy = -5.135 eV per atom; density of states at the Fermi level = 3.80 states/eV/cell; magnetic moment = 0.00 μB per cell; formation energy from the elements = -0.374 eV per atom
1.0
0.109 4.261 1.926
-0.364 0.480 4.639
7.355 1.104 2.822
Rh Cd Ce
4 3 1
Direct
0.376 0.376 0.873 Rh
0.624 0.624 0.127 Rh
0.880 0.880 0.361 Rh
0.120 0.120 0.639 Rh
0.754 0.754 0.738 Cd
0.246 0.246 0.262 Cd
0.500 0.500 0.500 Cd
0.000 0.000 0.000 Ce